1.
A geometry-optimized NaLa2Pm3Se6 structure. Source: the Alexandria database, functional PBE. Values from VASP.

space group = C2/m
raw formation energy = -1.85 eV/atom

Quantum ESPRESSO input file:
```
&SYSTEM
  ibrav = 0, nat = 12, ntyp = 4
/
ATOMIC_SPECIES
Na 22.99 Na.upf
La 138.91 La.upf
Pm 145.00 Pm.upf
Se 78.96 Se.upf
CELL_PARAMETERS angstrom
9.280 -2.115 0.000
9.280 2.115 0.000
-2.034 0.000 8.285
ATOMIC_POSITIONS angstrom
Na 0.000 0.000 0.000
La 4.836 0.000 5.509
La 11.690 0.000 2.776
Pm -1.017 0.000 4.142
Pm 5.862 0.000 1.439
Pm 10.663 0.000 6.846
Se 1.853 0.000 4.857
Se 2.945 0.000 0.628
Se 8.746 0.000 2.080
Se 7.779 0.000 6.204
Se 13.580 0.000 7.657
Se 14.672 0.000 3.428
```



2.
A geometry-optimized Li2NiOs structure. Source: the Alexandria database, functional PBE. Values from VASP.

polymorph energy (0 for the lowest one) = 0.014 eV/atom
space group = Pmm2
energy of formation from the pure elements = 0.06 eV/atom

Quantum ESPRESSO input file:
```
&SYSTEM
  ibrav = 0, nat = 4, ntyp = 3
/
ATOMIC_SPECIES
Li 6.94 Li.upf
Ni 58.69 Ni.upf
Os 190.23 Os.upf
CELL_PARAMETERS angstrom
2.531 0.000 0.000
0.000 4.264 0.000
0.000 0.000 4.711
ATOMIC_POSITIONS angstrom
Li 0.000 0.000 0.000
Li 1.265 2.132 0.684
Ni 0.000 2.132 2.981
Os 1.265 0.000 2.401
```



3.
A geometry-optimized TaAgPdPt structure. Source: the Alexandria database, functional PBE. Values from VASP.

polymorph energy (0 for the lowest one) = 0.049 eV/atom
space group = I-4m2
energy of formation from the pure elements = -0.29 eV/atom

Quantum ESPRESSO input file:
```
&SYSTEM
  ibrav = 0, nat = 4, ntyp = 4
/
ATOMIC_SPECIES
Ta 180.95 Ta.upf
Ag 107.87 Ag.upf
Pd 106.42 Pd.upf
Pt 195.08 Pt.upf
CELL_PARAMETERS angstrom
-2.039 2.039 3.900
2.039 -2.039 3.900
2.039 2.039 -3.900
ATOMIC_POSITIONS angstrom
Ta 0.000 0.000 0.000
Ag 0.000 0.000 3.900
Pd 0.000 2.039 1.950
Pt 2.039 0.000 1.950
```